Entry 1:
Pm2GeO GGA-PBE optimized geometry; formation energy without anion corrections = -1.46 eV/atom; total magnetic moment = 0.00 μB per cell
1.0
3.550 0.000 0.000
1.775 3.075 0.000
1.775 1.025 7.632
Pm Ge O
2 1 1
Cartesian
1.775 1.025 2.201
1.775 1.025 5.412
5.325 3.075 7.611
3.550 2.050 3.857



Entry 2:
Pm8Ge3O2 GGA-PBE optimized geometry; formation energy without anion corrections = -1.06 eV/atom; total magnetic moment = 0.03 μB per cell
1.0
-2.909 -1.521 -6.077
-1.328 -6.576 -1.643
-9.233 -2.012 0.999
Pm Ge O
8 3 2
Cartesian
-4.530 -5.782 -2.234
-8.135 -6.904 -2.228
-5.335 -3.206 -4.494
-1.895 -2.657 -2.353
-6.012 -6.557 -5.331
-7.458 -3.553 -1.391
-8.940 -4.328 -4.487
-11.576 -7.453 -4.368
0.000 0.000 0.000
-8.915 -7.687 -5.584
-4.555 -2.423 -1.138
-9.134 -4.844 -2.265
-4.336 -5.266 -4.456



Entry 3:
PmGe2PtO8 GGA-PBE optimized geometry; formation energy without anion corrections = -1.41 eV/atom; total magnetic moment = 0.96 μB per cell
1.0
-4.292 -1.162 3.259
1.718 -3.692 -3.716
4.168 -2.638 4.548
O Pm Ge Pt
8 1 2 1
Cartesian
-1.594 -4.084 1.107
1.710 -4.111 0.786
1.797 -6.035 2.738
-0.115 -3.381 3.306
3.189 -3.408 2.985
-0.202 -1.457 1.354
-2.524 -2.086 3.118
4.119 -5.406 0.974
2.084 -1.319 2.274
2.792 -4.796 1.967
-1.197 -2.696 2.125
0.000 0.000 0.000



Entry 4:
Rb3Pm3GeO8 GGA-PBE optimized geometry; formation energy without anion corrections = -2.34 eV/atom; total magnetic moment = 0.00 μB per cell
1.0
6.968 0.000 0.000
-3.484 6.035 -0.023
0.000 -3.999 6.651
Pm Ge O Rb
3 1 8 3
Cartesian
3.484 -2.000 3.326
1.742 1.018 3.314
-1.742 1.018 3.314
0.000 -1.999 3.326
-1.986 3.174 4.379
5.469 -1.139 2.249
3.484 0.016 4.491
0.000 2.019 2.137
1.498 -1.139 2.249
0.000 -0.265 4.392
1.985 3.174 4.379
3.484 2.300 2.236
1.742 3.017 -0.011
-1.742 3.017 -0.011
0.000 0.000 0.000



Entry 5:
Rb3PmGe2O8 GGA-PBE optimized geometry; formation energy without anion corrections = -1.82 eV/atom; total magnetic moment = 2.05 μB per cell
1.0
-5.932 -1.365 -1.014
4.341 -4.310 -0.813
-0.805 -2.277 7.771
Rb O Ge Pm
3 8 2 1
Cartesian
-2.747 -3.024 1.363
0.351 -4.928 4.580
0.000 0.000 0.000
-0.531 -5.186 1.239
0.883 -3.424 -0.552
-2.615 -5.440 3.843
-1.865 -2.766 4.704
2.264 -4.543 1.717
-4.660 -3.409 4.226
-3.278 -4.527 6.495
0.219 -2.512 2.100
0.707 -3.922 1.146
-3.102 -4.030 4.797
-0.402 -1.138 3.885



Entry 6:
Rb2PmGe2O6 GGA-PBE optimized geometry; formation energy without anion corrections = -2.00 eV/atom; total magnetic moment = 0.89 μB per cell
1.0
-0.749 0.736 -6.101
1.829 -5.462 2.257
-6.868 1.740 1.053
O Pm Rb Ge
6 1 2 2
Cartesian
-0.128 -4.712 1.090
-4.315 -1.031 -2.736
-0.519 -4.327 -2.101
-5.661 1.727 -3.880
-5.269 1.342 -0.690
-1.473 -1.955 -0.055
-3.809 1.238 -2.524
-4.895 -1.489 0.421
-0.893 -1.496 -3.212
-1.302 -0.228 0.132
-4.487 -2.758 -2.923



Entry 7:
RbPmGeO4 GGA-PBE optimized geometry; formation energy without anion corrections = -2.34 eV/atom; total magnetic moment = 0.00 μB per cell
1.0
-5.356 -2.331 -0.856
2.374 -5.472 0.047
1.057 0.524 7.670
O Pm Ge Rb
8 2 2 2
Cartesian
2.408 -5.292 2.469
-1.556 -2.252 5.673
-4.333 -1.987 4.391
-3.251 -4.480 4.412
-0.369 -5.027 1.188
-1.890 -2.421 2.906
-0.035 -4.858 3.954
1.326 -2.799 2.448
-1.968 -5.706 2.868
0.043 -1.573 3.992
-2.713 -2.765 4.445
0.788 -4.514 2.415
-0.924 -5.221 6.565
-1.001 -2.057 0.295



Entry 8:
PmGeRhO GGA-PBE optimized geometry; formation energy without anion corrections = -1.87 eV/atom; total magnetic moment = 0.00 μB per cell
1.0
-2.880 -0.166 2.920
2.840 -1.136 2.737
1.433 8.100 1.874
O Pm Ge Rh
2 2 2 2
Cartesian
0.697 3.399 3.765
0.716 4.050 0.937
-0.532 5.047 2.647
1.945 2.402 2.055
-1.212 1.203 1.757
2.625 6.246 2.945
0.000 0.000 0.000
-0.020 -0.651 2.828



Entry 9:
PmGeRuO GGA-PBE optimized geometry; formation energy without anion corrections = -1.64 eV/atom; total magnetic moment = 0.00 μB per cell
1.0
-3.155 1.811 2.068
-2.698 -1.436 -2.859
-1.024 -6.775 4.370
Ru Ge O Pm
2 2 2 2
Cartesian
0.000 0.000 0.000
-2.927 0.187 -0.395
-2.220 -6.482 2.289
-1.731 -0.106 1.687
-0.512 -3.388 2.185
-3.439 -3.200 1.790
-1.723 -3.191 0.166
-2.228 -3.396 3.809



Entry 10:
PmGe2RuO8 GGA-PBE optimized geometry; formation energy without anion corrections = -1.46 eV/atom; total magnetic moment = 3.03 μB per cell
1.0
-4.498 2.948 2.359
3.022 -3.242 3.853
3.711 3.974 -2.219
Ge O Ru Pm
2 8 1 1
Cartesian
-0.738 -0.147 3.106
-0.763 3.387 1.623
0.727 0.039 2.148
2.815 2.566 2.105
-0.337 2.082 0.456
-0.646 4.801 0.511
2.099 3.759 -0.638
0.289 3.477 3.084
-1.170 0.997 4.372
-2.356 3.190 2.441
0.000 0.000 0.000
2.998 0.293 2.370



Entry 11:
PmGe2SbO8 GGA-PBE optimized geometry; formation energy without anion corrections = -1.81 eV/atom; total magnetic moment = 0.00 μB per cell
1.0
-3.438 -0.493 4.758
1.128 -5.034 -2.845
5.187 2.061 1.884
Ge Sb O Pm
2 1 8 1
Cartesian
-1.155 -2.764 0.957
0.297 -0.598 3.799
0.000 0.000 0.000
3.416 0.944 2.614
1.103 -2.182 3.961
0.378 0.104 2.160
1.058 0.714 4.742
-1.327 -3.627 2.496
0.409 -2.143 0.398
-1.351 -1.027 4.335
3.256 -2.107 2.086
2.580 -2.868 -0.002



Entry 12:
Pm2Sc4Ge3O2 GGA-PBE optimized geometry; formation energy without anion corrections = -1.66 eV/atom; total magnetic moment = 0.02 μB per cell
1.0
-3.919 -1.638 -0.690
1.691 -2.925 -2.665
2.595 -5.052 10.667
Sc Ge Pm O
4 3 2 2
Cartesian
-0.708 -7.015 7.250
-1.730 -1.956 1.049
1.075 -2.600 0.062
2.097 -7.658 6.263
-0.133 -7.138 4.277
0.500 -2.476 3.036
0.000 0.000 0.000
-0.537 -5.140 1.827
0.904 -4.475 5.485
1.223 -6.058 7.426
-0.856 -3.557 -0.114



- The highest formation energy without anion corrections belongs to which entry?
  Pm8Ge3O2



- Among the records above, which one has the highest formation energy without anion corrections?
  Pm8Ge3O2